! MgP2Au PBE relaxed; values from VASP
&SYSTEM
  ibrav = 0, nat = 8, ntyp = 3
/
ATOMIC_SPECIES
Mg 24.30 Mg.upf
P 30.97 P.upf
Au 196.97 Au.upf
ATOMIC_POSITIONS crystal
Mg 0.0000 0.0000 0.0000
Mg 0.7500 0.2500 0.5000
P 0.1515 0.6250 0.0265
P 0.3750 0.4015 0.5265
P 0.5985 0.1250 0.9735
P 0.8750 0.8485 0.4735
Au 0.2500 0.7500 0.5000
Au 0.5000 0.5000 0.0000
CELL_PARAMETERS angstrom
-2.2626 2.2626 7.7597
2.2626 -2.2626 7.7597
2.2626 2.2626 -7.7597
! Space group: I-42d
! Crystal system: tetragonal
! Total moment: 0.000 μB per atom
! DFT formation energy: 0.028 eV/atom